First-principles (PBE-GGA) data for an optimized crystal structure of Dy2In2Cu15, as listed in the Alexandria database. Values from VASP.

Structure (Quantum ESPRESSO input):
```
&SYSTEM
  ibrav = 0, nat = 19, ntyp = 3
/
ATOMIC_SPECIES
Dy 162.50 Dy.upf
In 114.82 In.upf
Cu 63.55 Cu.upf
ATOMIC_POSITIONS crystal
Dy 0.1440 0.1440 0.1440
Dy 0.8560 0.8560 0.8560
In 0.3906 0.3906 0.3906
In 0.6094 0.6094 0.6094
Cu 0.0000 0.5000 0.5000
Cu 0.1491 0.1491 0.6619
Cu 0.1491 0.6619 0.1491
Cu 0.1919 0.5000 0.8081
Cu 0.1919 0.8081 0.5000
Cu 0.3381 0.8509 0.8509
Cu 0.5000 0.0000 0.5000
Cu 0.5000 0.1919 0.8081
Cu 0.5000 0.5000 0.0000
Cu 0.5000 0.8081 0.1919
Cu 0.6619 0.1491 0.1491
Cu 0.8081 0.1919 0.5000
Cu 0.8081 0.5000 0.1919
Cu 0.8509 0.3381 0.8509
Cu 0.8509 0.8509 0.3381
CELL_PARAMETERS angstrom
4.3735 2.5250 4.2669
-4.3735 2.5250 4.2669
0.0000 -5.0500 4.2669
```

Summary:
- Space group: No. 166
- V: 282.7 Å³/cell

---

First-principles (PBE-GGA) data for an optimized crystal structure of LiPm3Hg2, as listed in the Alexandria database. Values from VASP.

Structure (Quantum ESPRESSO input):
```
&SYSTEM
  ibrav = 0, nat = 12, ntyp = 3
/
ATOMIC_SPECIES
Li 6.94 Li.upf
Pm 145.00 Pm.upf
Hg 200.59 Hg.upf
ATOMIC_POSITIONS crystal
Li 0.3333 0.6667 0.1714
Li 0.6667 0.3333 0.8286
Pm 0.0000 0.0000 0.2524
Pm 0.0000 0.0000 0.7476
Pm 0.3333 0.6667 0.4199
Pm 0.3333 0.6667 0.9197
Pm 0.6667 0.3333 0.0803
Pm 0.6667 0.3333 0.5801
Hg 0.0000 0.0000 0.0000
Hg 0.0000 0.0000 0.5000
Hg 0.3333 0.6667 0.6800
Hg 0.6667 0.3333 0.3200
CELL_PARAMETERS angstrom
5.3650 0.0000 0.0000
-2.6825 4.6462 0.0000
0.0000 0.0000 13.1749
```

Summary:
- Space group: No. 164
- Offset from the most stable computed form: 0.00 eV/f.u.
- V: 328.4 Å³/cell

---

Number 1: ΔE_f -2.04 eV per formula unit. Number 2: ΔE_f -1.85 eV per formula unit.